Entry 1:
Ca2PaSbO6: optimized geometry, GGA-PBE.

Unit cell a=6.143 b=6.143 c=4.636 alpha=90.00 beta=90.00 gamma=90.00
Fractional coordinates of all 10 atoms:
Ca1 0.000 0.500 0.000
Ca2 0.500 0.000 0.000
Pa1 0.000 0.000 0.663
Sb1 0.500 0.500 0.640
O1 0.000 0.000 0.195
O2 0.241 0.241 0.755
O3 0.241 0.759 0.755
O4 0.500 0.500 0.211
O5 0.759 0.241 0.755
O6 0.759 0.759 0.755

Results
V   17.5 A^3/atom
Symmetry   P4mm, No. 99
Formation energy without anion corrections   -2.54 eV per atom
Size of the total moment   0.00 μB per cell
E_tot   -72.79 eV for the cell shown

Entry 2:
Ca2PaSbO8: optimized geometry, GGA-PBE.

Unit cell a=5.128 b=6.901 c=5.143 alpha=90.00 beta=92.65 gamma=90.00
Fractional coordinates of all 12 atoms:
Ca1 0.000 0.242 0.000
Ca2 0.000 0.758 0.000
Pa1 0.500 0.500 0.500
Sb1 0.500 0.000 0.500
O1 0.215 0.500 0.218
O2 0.224 0.000 0.227
O3 0.322 0.224 0.680
O4 0.322 0.776 0.680
O5 0.678 0.224 0.320
O6 0.678 0.776 0.320
O7 0.776 0.000 0.773
O8 0.785 0.500 0.782

Results
V   15.2 A^3/atom
Symmetry   P2/m, No. 10
N(E_F)   5.29 states/eV/cell
Formation energy without anion corrections   -2.35 eV per atom
Size of the total moment   1.97 μB per cell
E_tot   -85.49 eV for the cell shown

Entry 3:
CaPaSeO6: optimized geometry, GGA-PBE.

Unit cell a=5.537 b=5.537 c=9.806 alpha=90.00 beta=90.00 gamma=120.00
Fractional coordinates of all 18 atoms:
Ca1 0.000 0.000 0.000
Ca2 0.000 0.000 0.500
Pa1 0.333 0.667 0.250
Pa2 0.667 0.333 0.750
Se1 0.333 0.667 0.750
Se2 0.667 0.333 0.250
O1 0.034 0.378 0.641
O2 0.034 0.656 0.859
O3 0.344 0.378 0.859
O4 0.344 0.966 0.641
O5 0.378 0.034 0.141
O6 0.378 0.344 0.359
O7 0.622 0.656 0.641
O8 0.622 0.966 0.859
O9 0.656 0.034 0.359
O10 0.656 0.622 0.141
O11 0.966 0.344 0.141
O12 0.966 0.622 0.359

Results
V   14.5 A^3/atom
Symmetry   P-31c, No. 163
N(E_F)   8.51 states/eV/cell
Formation energy without anion corrections   -2.19 eV per atom
Size of the total moment   1.51 μB per cell
E_tot   -128.93 eV for the cell shown

Entry 4:
CaPaSe2O8: optimized geometry, GGA-PBE.

Unit cell a=6.124 b=6.124 c=6.124 alpha=107.43 beta=107.43 gamma=113.64
Fractional coordinates of all 12 atoms:
Ca1 0.000 0.000 0.000
Pa1 0.750 0.250 0.500
Se1 0.250 0.750 0.500
Se2 0.500 0.500 0.000
O1 0.062 0.385 0.323
O2 0.062 0.739 0.677
O3 0.112 0.310 0.802
O4 0.261 0.938 0.323
O5 0.508 0.310 0.198
O6 0.615 0.938 0.677
O7 0.690 0.492 0.802
O8 0.690 0.888 0.198

Results
V   14.7 A^3/atom
Symmetry   I-4m2, No. 119
N(E_F)   2.37 states/eV/cell
Formation energy without anion corrections   -1.77 eV per atom
Size of the total moment   0.95 μB per cell
E_tot   -79.34 eV for the cell shown

Entry 5:
CaPaSiO5: optimized geometry, GGA-PBE.

Unit cell a=5.802 b=5.802 c=7.860 alpha=102.31 beta=102.31 gamma=106.37
Fractional coordinates of all 16 atoms:
Ca1 0.156 0.844 0.750
Ca2 0.844 0.156 0.250
Pa1 0.500 0.500 0.000
Pa2 0.500 0.500 0.500
Si1 0.178 0.822 0.250
Si2 0.822 0.178 0.750
O1 0.090 0.224 0.901
O2 0.163 0.595 0.350
O3 0.224 0.090 0.401
O4 0.398 0.602 0.750
O5 0.405 0.837 0.150
O6 0.595 0.163 0.850
O7 0.602 0.398 0.250
O8 0.776 0.910 0.599
O9 0.837 0.405 0.650
O10 0.910 0.776 0.099

Results
V   14.8 A^3/atom
Symmetry   C2/c, No. 15
N(E_F)   4.91 states/eV/cell
Formation energy without anion corrections   -3.10 eV per atom
Size of the total moment   2.00 μB per cell
E_tot   -133.05 eV for the cell shown

Entry 6:
Ca2PaSiO6: optimized geometry, GGA-PBE.

Unit cell a=5.405 b=5.405 c=4.776 alpha=90.00 beta=90.00 gamma=90.00
Fractional coordinates of all 10 atoms:
Ca1 0.000 0.500 0.000
Ca2 0.500 0.000 0.000
Pa1 0.000 0.000 0.566
Si1 0.500 0.500 0.585
O1 0.000 0.000 0.104
O2 0.277 0.277 0.692
O3 0.277 0.723 0.692
O4 0.500 0.500 0.239
O5 0.723 0.277 0.692
O6 0.723 0.723 0.692

Results
V   14.0 A^3/atom
Symmetry   P4mm, No. 99
N(E_F)   2.30 states/eV/cell
Formation energy without anion corrections   -2.92 eV per atom
Size of the total moment   0.98 μB per cell
E_tot   -77.84 eV for the cell shown

Entry 7:
CaPaSiO6: optimized geometry, GGA-PBE.

Unit cell a=5.316 b=5.316 c=9.812 alpha=90.00 beta=90.00 gamma=120.00
Fractional coordinates of all 18 atoms:
Ca1 0.000 0.000 0.000
Ca2 0.000 0.000 0.500
Pa1 0.333 0.667 0.250
Pa2 0.667 0.333 0.750
Si1 0.333 0.667 0.750
Si2 0.667 0.333 0.250
O1 0.050 0.389 0.645
O2 0.050 0.662 0.855
O3 0.338 0.389 0.855
O4 0.338 0.950 0.645
O5 0.389 0.050 0.145
O6 0.389 0.338 0.355
O7 0.611 0.662 0.645
O8 0.611 0.950 0.855
O9 0.662 0.050 0.355
O10 0.662 0.611 0.145
O11 0.950 0.338 0.145
O12 0.950 0.611 0.355

Results
V   13.3 A^3/atom
Symmetry   P-31c, No. 163
N(E_F)   14.40 states/eV/cell
Formation energy without anion corrections   -2.81 eV per atom
Size of the total moment   1.35 μB per cell
E_tot   -143.91 eV for the cell shown

Entry 8:
CaPaSi2O8: optimized geometry, GGA-PBE.

Unit cell a=5.859 b=5.859 c=5.859 alpha=106.52 beta=106.52 gamma=115.55
Fractional coordinates of all 12 atoms:
Ca1 0.000 0.000 0.000
Pa1 0.250 0.750 0.500
Si1 0.500 0.500 0.000
Si2 0.750 0.250 0.500
O1 0.340 0.152 0.812
O2 0.340 0.528 0.188
O3 0.401 0.077 0.324
O4 0.472 0.660 0.812
O5 0.753 0.077 0.676
O6 0.848 0.660 0.188
O7 0.923 0.247 0.324
O8 0.923 0.599 0.676

Results
V   12.8 A^3/atom
Symmetry   I-4m2, No. 119
N(E_F)   6.72 states/eV/cell
Formation energy without anion corrections   -2.90 eV per atom
Size of the total moment   0.88 μB per cell
E_tot   -96.78 eV for the cell shown